1.
CaHoRhAu PBE optimized geometry; ΔE_f = -0.70 eV per atom; SG = F-43m (216); energy above the lowest structure with this stoichiometry = 0.034 eV per atom; magnetic moment = 0.00 μB per cell; theoretical density = 9.76 g/cm³
1.0
-3.598 0.404 3.378
-4.670 -1.115 -1.212
-2.132 -4.071 1.845
Rh Ca Au Ho
1 1 1 1
Direct
0.500 0.500 0.500 Rh
0.750 0.750 0.750 Ca
0.000 0.000 0.000 Au
0.250 0.250 0.250 Ho


2.
GdErPuAl PBE optimized geometry; ΔE_f = 0.02 eV per atom; SG = F-43m (216); magnetic moment = 1.01 μB per cell; theoretical density = 9.38 g/cm³
1.0
5.302 0.000 0.000
2.651 4.591 0.000
2.651 1.530 4.329
Gd Pu Al Er
1 1 1 1
Direct
0.250 0.250 0.250 Gd
0.750 0.750 0.750 Pu
0.500 0.500 0.500 Al
0.000 0.000 0.000 Er


3.
PaAgRhO6 PBE optimized geometry; SG = P-31c (163); magnetic moment = 0.00 μB per cell; theoretical density = 7.32 g/cm³; uncorrected formation energy = -1544 meV/atom
1.0
-4.556 -2.986 -0.597
4.799 -2.479 0.925
-1.529 0.487 9.239
Pa Ag Rh O
2 2 2 12
Direct
0.333 0.667 0.250 Pa
0.667 0.333 0.750 Pa
0.000 0.000 0.000 Ag
0.000 0.000 0.500 Ag
0.667 0.333 0.250 Rh
0.333 0.667 0.750 Rh
0.654 0.632 0.134 O
0.978 0.346 0.134 O
0.346 0.978 0.634 O
0.022 0.654 0.866 O
0.368 0.346 0.366 O
0.978 0.632 0.366 O
0.632 0.978 0.866 O
0.654 0.022 0.366 O
0.022 0.368 0.634 O
0.368 0.022 0.134 O
0.632 0.654 0.634 O
0.346 0.368 0.866 O


4.
TcAsW PBE optimized geometry; ΔE_f = 0.20 eV per atom; SG = P3m1 (156); energy above the lowest structure with this stoichiometry = 0.117 eV per atom; magnetic moment = 0.00 μB per cell; theoretical density = 12.66 g/cm³
1.0
-0.743 2.360 -1.512
-1.352 -0.611 2.491
4.377 3.440 3.220
As Tc W
1 1 1
Direct
0.000 0.000 0.007 As
0.667 0.333 0.334 Tc
0.333 0.667 0.659 W


5.
Ba4Tc2N5 PBE optimized geometry; SG = Cm (8); magnetic moment = 0.00 μB per cell; theoretical density = 5.15 g/cm³; uncorrected formation energy = -467 meV/atom
1.0
6.286 0.345 1.003
2.691 5.691 1.003
0.420 0.283 7.638
Ba Tc N
4 2 5
Direct
0.077 0.077 0.895 Ba
0.946 0.946 0.435 Ba
0.317 0.317 0.176 Ba
0.716 0.716 0.881 Ba
0.442 0.442 0.703 Tc
0.586 0.586 0.326 Tc
0.170 0.648 0.831 N
0.851 0.374 0.193 N
0.374 0.851 0.193 N
0.648 0.170 0.831 N
0.414 0.414 0.464 N


6.
YI2F PBE optimized geometry; SG = C2/c (15); energy above the lowest structure with this stoichiometry = 0.000 eV per atom; magnetic moment = 0.00 μB per cell; theoretical density = 3.90 g/cm³; uncorrected formation energy = -2302 meV/atom
1.0
-1.452 3.947 -1.254
-4.909 -3.759 -6.148
-4.151 -1.619 7.388
Y I F
2 4 2
Direct
0.999 0.750 0.000 Y
0.001 0.250 0.000 Y
0.133 0.566 0.266 I
0.867 0.434 0.734 I
0.133 0.066 0.266 I
0.867 0.934 0.734 I
0.501 0.250 0.000 F
0.499 0.750 0.000 F


7.
LiCuMo PBE optimized geometry; ΔE_f = 0.26 eV per atom; SG = Pnma (62); energy above the lowest structure with this stoichiometry = 0.103 eV per atom; magnetic moment = 0.00 μB per cell; theoretical density = 6.34 g/cm³
1.0
-5.718 -2.201 0.992
1.237 -2.548 1.474
-0.318 4.287 7.678
Mo Cu Li
4 4 4
Direct
0.413 0.250 0.418 Mo
0.087 0.750 0.918 Mo
0.587 0.750 0.582 Mo
0.913 0.250 0.082 Mo
0.850 0.250 0.744 Cu
0.650 0.750 0.244 Cu
0.150 0.750 0.256 Cu
0.350 0.250 0.756 Cu
0.888 0.250 0.410 Li
0.612 0.750 0.910 Li
0.112 0.750 0.590 Li
0.388 0.250 0.090 Li


8.
KYH2 PBE optimized geometry; SG = Fm-3m (225); energy above the lowest structure with this stoichiometry = 0.579 eV per atom; magnetic moment = 0.00 μB per cell; theoretical density = 3.20 g/cm³
1.0
0.000 3.231 3.231
3.231 0.000 3.231
3.231 3.231 0.000
Y H K
1 2 1
Direct
0.500 0.500 0.500 Y
0.250 0.250 0.250 H
0.750 0.750 0.750 H
0.000 0.000 0.000 K


9.
ZnAgOs2Cl PBE optimized geometry; SG = P4/mmm (123); magnetic moment = 4.95 μB per cell; theoretical density = 8.16 g/cm³; uncorrected formation energy = 2376 meV/atom
1.0
5.042 0.000 0.000
0.000 4.715 0.000
0.000 0.000 5.042
Zn Os Ag Cl
1 2 1 1
Direct
0.500 0.500 0.500 Zn
0.000 0.000 0.500 Os
0.500 0.000 0.000 Os
0.000 0.000 0.000 Ag
0.000 0.500 0.000 Cl


10.
Th3Fe PBE optimized geometry; ΔE_f = 0.04 eV per atom; SG = P6_3/mcm (193); magnetic moment = 0.00 μB per cell; theoretical density = 10.91 g/cm³
1.0
5.934 0.000 0.000
0.000 5.781 -3.337
0.000 0.000 6.676
Th Fe
6 2
Direct
0.750 0.663 0.000 Th
0.250 0.337 0.000 Th
0.750 0.337 0.337 Th
0.250 0.000 0.337 Th
0.250 0.663 0.663 Th
0.750 0.000 0.663 Th
0.000 0.000 0.000 Fe
0.500 0.000 0.000 Fe


11.
PmTl3Pd7 PBE optimized geometry; ΔE_f = -0.22 eV per atom; SG = C2/m (12); magnetic moment = 0.00 μB per cell; theoretical density = 11.13 g/cm³
1.0
5.612 -0.589 -0.755
-3.341 6.730 0.609
-3.341 -1.041 6.677
Pm Tl Pd
1 3 7
Direct
0.500 0.500 0.500 Pm
0.000 0.772 0.228 Tl
0.500 0.000 0.000 Tl
0.000 0.228 0.772 Tl
0.350 0.197 0.197 Pd
0.326 0.060 0.588 Pd
0.674 0.412 0.940 Pd
0.326 0.588 0.060 Pd
0.000 0.500 0.500 Pd
0.674 0.940 0.412 Pd
0.650 0.803 0.803 Pd


12.
BSeI2 PBE optimized geometry; SG = I-42d (122); energy above the lowest structure with this stoichiometry = 0.927 eV per atom; magnetic moment = 1.94 μB per cell; theoretical density = 5.18 g/cm³; uncorrected formation energy = 966 meV/atom
1.0
7.209 0.000 0.000
0.000 7.209 0.000
3.605 3.605 4.239
I B Se
4 2 2
Direct
0.532 0.125 0.250 I
0.218 0.625 0.250 I
0.375 0.468 0.750 I
0.875 0.782 0.750 I
0.500 0.500 0.000 B
0.250 0.750 0.500 B
0.000 0.000 0.000 Se
0.750 0.250 0.500 Se


13.
Sc3TiZn PBE optimized geometry; ΔE_f = 0.64 eV per atom; SG = Pm-3m (221); energy above the lowest structure with this stoichiometry = 0.109 eV per atom; magnetic moment = 0.00 μB per cell; theoretical density = 3.35 g/cm³
1.0
4.972 0.000 0.000
0.000 4.972 0.000
0.000 0.000 4.972
Sc Zn Ti
3 1 1
Direct
0.000 0.500 0.000 Sc
0.000 0.000 0.500 Sc
0.500 0.000 0.000 Sc
0.500 0.500 0.500 Zn
0.000 0.000 0.000 Ti


14.
ScTc2W PBE optimized geometry; ΔE_f = 0.02 eV per atom; SG = Cmmm (65); energy above the lowest structure with this stoichiometry = 0.248 eV per atom; magnetic moment = 0.00 μB per cell; theoretical density = 10.90 g/cm³
1.0
-0.911 1.722 -2.026
-2.067 -0.685 1.777
2.003 6.958 5.014
Sc Tc W
1 2 1
Direct
0.500 0.500 0.750 Sc
0.000 0.000 0.010 Tc
0.000 0.000 0.490 Tc
0.500 0.500 0.250 W


15.
BaTiOs PBE optimized geometry; ΔE_f = 0.03 eV per atom; SG = Cm (8); energy above the lowest structure with this stoichiometry = 0.000 eV per atom; magnetic moment = 0.64 μB per cell; theoretical density = 6.98 g/cm³
1.0
-4.933 3.424 9.490
-1.656 -3.971 0.572
6.694 -2.447 2.392
Os Ba Ti
4 4 4
Direct
0.524 0.000 0.677 Os
0.524 0.500 0.177 Os
0.672 0.000 0.059 Os
0.672 0.500 0.559 Os
0.328 0.000 0.946 Ba
0.328 0.500 0.446 Ba
0.954 0.000 0.485 Ba
0.954 0.500 0.985 Ba
0.589 0.000 0.365 Ti
0.589 0.500 0.865 Ti
0.739 0.000 0.748 Ti
0.739 0.500 0.248 Ti


16.
PuTl2InBr6 PBE optimized geometry; SG = P2_1/c (14); magnetic moment = 10.00 μB per cell; theoretical density = 5.45 g/cm³; uncorrected formation energy = -1092 meV/atom
1.0
-1.302 7.663 -0.337
-8.364 -1.349 1.656
1.945 1.527 11.067
Pu Tl In Br
2 4 2 12
Direct
0.500 0.000 0.500 Pu
0.000 0.500 0.000 Pu
0.034 0.916 0.266 Tl
0.534 0.584 0.766 Tl
0.966 0.084 0.734 Tl
0.466 0.416 0.234 Tl
0.500 0.000 0.000 In
0.000 0.500 0.500 In
0.304 0.672 0.051 Br
0.804 0.828 0.551 Br
0.696 0.328 0.949 Br
0.196 0.172 0.449 Br
0.340 0.718 0.425 Br
0.840 0.782 0.925 Br
0.660 0.282 0.575 Br
0.160 0.218 0.075 Br
0.860 0.561 0.237 Br
0.360 0.939 0.737 Br
0.140 0.439 0.763 Br
0.640 0.061 0.263 Br


17.
TePbAu2 PBE optimized geometry; SG = Cmmm (65); energy above the lowest structure with this stoichiometry = 0.138 eV per atom; magnetic moment = 0.00 μB per cell; theoretical density = 12.62 g/cm³; uncorrected formation energy = 90 meV/atom
1.0
4.785 0.006 0.000
-0.557 4.752 0.000
0.000 0.000 4.218
Au Pb Te
2 1 1
Direct
0.000 0.000 0.000 Au
0.500 0.500 0.000 Au
0.500 0.000 0.500 Pb
0.000 0.500 0.500 Te


18.
In3HgCl3 PBE optimized geometry; SG = Pm-3n (223); energy above the lowest structure with this stoichiometry = 0.061 eV per atom; magnetic moment = 0.00 μB per cell; theoretical density = 3.32 g/cm³; uncorrected formation energy = -601 meV/atom
1.0
-2.333 4.566 6.993
6.045 -4.086 4.685
5.762 6.135 -2.084
Cl Hg In
6 2 6
Direct
0.250 0.000 0.500 Cl
0.000 0.500 0.250 Cl
0.500 0.750 0.000 Cl
0.750 0.000 0.500 Cl
0.000 0.500 0.750 Cl
0.500 0.250 0.000 Cl
0.500 0.500 0.500 Hg
0.000 0.000 0.000 Hg
0.000 0.250 0.500 In
0.000 0.750 0.500 In
0.500 0.000 0.750 In
0.750 0.500 0.000 In
0.500 0.000 0.250 In
0.250 0.500 0.000 In


19.
AlIrW2 PBE optimized geometry; ΔE_f = -0.13 eV per atom; SG = P4/mmm (123); magnetic moment = 0.00 μB per cell; theoretical density = 15.97 g/cm³
1.0
2.788 0.003 0.000
-0.005 2.788 0.000
0.000 0.000 7.855
Ir Al W
1 1 2
Direct
0.500 0.500 0.750 Ir
0.500 0.500 0.250 Al
0.000 0.000 0.000 W
0.000 0.000 0.500 W


20.
Mn2POs2 PBE optimized geometry; ΔE_f = 0.69 eV per atom; SG = I4/mmm (139); magnetic moment = 1.63 μB per cell; theoretical density = 11.73 g/cm³
1.0
0.926 -3.574 4.618
-4.001 -3.395 2.724
2.099 1.500 -5.320
Mn P Os
2 1 2
Direct
0.601 0.601 0.000 Mn
0.399 0.399 0.000 Mn
0.000 0.000 0.000 P
0.250 0.750 0.500 Os
0.750 0.250 0.500 Os